MnMoCl2 after structural relaxation. Source: the Alexandria database, functional PBE-GGA.

Output
* density of states at the Fermi level: 3.90 states/eV/cell
* total magnetic moment: 2.51 μB per formula unit
* space-group type: I4/mmm, No. 139
* raw formation energy: 0.581 eV/atom

Unit cell a=4.660 b=4.660 c=4.660 alpha=125.38 beta=125.38 gamma=80.90
Positions (direct):
Mn 0.000 0.000 0.000
Mo 0.500 0.500 0.000
Cl 0.250 0.750 0.500
Cl 0.750 0.250 0.500